## BaAs2 (PBE-GGA)

Data for a relaxed structure of BaAs2.

a b c (Å): 6.6148 6.6148 9.0318
angles (deg): 90.00 90.00 90.00
Fractional coordinates of all 12 atoms:
Ba: 0.0000 0.0000 0.2500
Ba: 0.0000 0.0000 0.7500
Ba: 0.5000 0.5000 0.2500
Ba: 0.5000 0.5000 0.7500
As: 0.1241 0.3759 0.0000
As: 0.1241 0.6241 0.5000
As: 0.3759 0.1241 0.5000
As: 0.3759 0.8759 0.0000
As: 0.6241 0.1241 0.0000
As: 0.6241 0.8759 0.5000
As: 0.8759 0.3759 0.5000
As: 0.8759 0.6241 0.0000

- total energy (eV/atom) = -4.25
- space-group type = I4/mcm (140)
- magnetization (μB/f.u.) = 0.38
- energy of formation (eV/atom) = -0.51